1.
Below is crystalline Os2PtW at its relaxed geometry, with properties calculated at the PBE level.

Total magnetic moment: 0.898 μB per formula unit
Mass density: 20.26 g/cm3
Energy of formation from the pure elements: 0.340 eV/atom
Energy: -40.1 eV per cell
E above lowest polymorph: 417 meV/atom

Lattice parameters (Å, degrees): 3.3492 3.3492 5.5483 90.00 90.00 90.00
With the nearest neighbours (Å) after each atom.
Positions (direct):
Os (0.0000, 0.0000, 0.0000)  4 Os 2.65, 2 Pt 2.69-2.86, 4 W 2.75
Os (0.5000, 0.5000, 0.2134)  1 W 2.57, 4 Os 2.65, 4 Pt 2.81
Pt (0.0000, 0.0000, 0.4852)  6 Os 2.69-2.86, 4 W 2.78
W (0.5000, 0.5000, 0.7493)  5 Os 2.57-2.75, 4 Pt 2.78



2.
Below is crystalline OsPt2W at its relaxed geometry, with properties calculated at the PBE level.

Total magnetic moment: 0.000 μB per formula unit
Mass density: 13.99 g/cm3
Energy of formation from the pure elements: 1.117 eV/atom
Energy: -63.6 eV per cell
E above lowest polymorph: 1228 meV/atom

Lattice parameters (Å, degrees): 6.9620 6.9620 6.9620 132.22 132.22 69.88
With the nearest neighbours (Å) after each atom.
Positions (direct):
Os (0.0000, 0.0000, 0.0000)  4 Pt 2.43
Os (0.7500, 0.2500, 0.5000)  4 Pt 2.43
Pt (0.1195, 0.6250, 0.9945)  2 Os 2.43, 2 W 2.47
Pt (0.3750, 0.3695, 0.4945)  2 Os 2.43, 2 W 2.47
Pt (0.6305, 0.1250, 0.0055)  2 Os 2.43, 2 W 2.47
Pt (0.8750, 0.8805, 0.5055)  2 Os 2.43, 2 W 2.47
W (0.2500, 0.7500, 0.5000)  4 Pt 2.47
W (0.5000, 0.5000, 0.0000)  4 Pt 2.47



3.
Below is crystalline OsPt2W at its relaxed geometry, with properties calculated at the PBE level.

Total magnetic moment: 0.000 μB per formula unit
Mass density: 20.73 g/cm3
Energy of formation from the pure elements: -0.044 eV/atom
Energy: -36.4 eV per cell
E above lowest polymorph: 67 meV/atom

Lattice parameters (Å, degrees): 4.8421 4.8421 4.8591 99.04 99.04 33.00
With the nearest neighbours (Å) after each atom.
Positions (direct):
Os (0.0000, 0.0000, 0.0000)  2 Os 2.75, 7 Pt 2.76-2.83, 3 W 2.76-2.78
Pt (0.2541, 0.2541, 0.7478)  5 Pt 2.74-2.87, 4 W 2.76-2.83, 3 Os 2.77-2.83
Pt (0.4955, 0.4955, 0.4908)  5 Pt 2.74-2.87, 4 Os 2.76-2.82, 3 W 2.79-2.82
W (0.7475, 0.7475, 0.2377)  2 W 2.75, 7 Pt 2.76-2.83, 3 Os 2.76-2.78



What is the mass density in the third record?
20.73 g/cm3